# 1
Material: Ti3Ni2Mo
Method: DFT, PBE
State: optimized geometry

**Space-group type**: No. 123
**V**: 87 Å³/cell
**Calculated formation energy**: -0.30 eV/atom
**Crystal system**: tetragonal

Cell lengths 3.127, 3.127, 8.867 Å; angles 90.00, 90.00, 90.00 degrees
Sites, in units of the cell vectors:
Ti1 0.000 0.000 0.000
Ti2 0.000 0.000 0.330
Ti3 0.000 0.000 0.670
Ni1 0.500 0.500 0.154
Ni2 0.500 0.500 0.846
Mo1 0.500 0.500 0.500


# 2
Material: Ti3NiMo
Method: DFT, PBE
State: optimized geometry

**Space-group type**: No. 221
**Energy relative to the lowest polymorph listed for this composition**: 1.253 eV per atom
**V**: 101 Å³/cell
**Calculated formation energy**: 1.03 eV/atom
**Crystal system**: cubic

Cell lengths 4.664, 4.664, 4.664 Å; angles 90.00, 90.00, 90.00 degrees
Sites, in units of the cell vectors:
Ti1 0.000 0.000 0.500
Ti2 0.000 0.500 0.000
Ti3 0.500 0.000 0.000
Ni1 0.500 0.500 0.500
Mo1 0.000 0.000 0.000


# 3
Material: Ti6NiMo5
Method: DFT, PBE
State: optimized geometry

**Space-group type**: No. 65
**V**: 186 Å³/cell
**Calculated formation energy**: -0.14 eV/atom
**Crystal system**: orthorhombic

Cell lengths 6.992, 6.992, 6.305 Å; angles 90.00, 90.00, 142.89 degrees
Sites, in units of the cell vectors:
Ti1 0.000 0.000 0.249
Ti2 0.000 0.000 0.751
Ti3 0.333 0.667 0.246
Ti4 0.333 0.667 0.754
Ti5 0.667 0.333 0.246
Ti6 0.667 0.333 0.754
Ni1 0.500 0.500 0.000
Mo1 0.165 0.835 0.000
Mo2 0.166 0.834 0.500
Mo3 0.500 0.500 0.500
Mo4 0.834 0.166 0.500
Mo5 0.835 0.165 0.000


# 4
Material: Ti4NiMo3
Method: DFT, PBE
State: optimized geometry

**Space-group type**: No. 47
**V**: 123 Å³/cell
**Calculated formation energy**: -0.17 eV/atom
**Crystal system**: orthorhombic

Cell lengths 3.153, 4.474, 8.705 Å; angles 90.00, 90.00, 90.00 degrees
Sites, in units of the cell vectors:
Ti1 0.000 0.000 0.000
Ti2 0.000 0.000 0.500
Ti3 0.000 0.500 0.244
Ti4 0.000 0.500 0.756
Ni1 0.500 0.500 0.000
Mo1 0.500 0.000 0.244
Mo2 0.500 0.000 0.756
Mo3 0.500 0.500 0.500